[1]
PBEsol TaSiSe2, relaxed; raw formation energy = 0.192 eV/atom; M_tot = 0.0 μB/cell; space-group type = No. 123
1.0
-2.1125 -2.1115 0.9951
2.4489 -0.6219 3.8791
-2.4051 3.3770 2.0597
Se Si Ta
2 1 1
direct
0.0000 0.0000 0.5000 Se
0.0000 0.5000 0.0000 Se
0.5000 0.5000 0.5000 Si
0.5000 0.0000 0.0000 Ta

=====

[2]
PBEsol Li2PCl, relaxed; raw formation energy = -0.443 eV/atom; energy relative to the lowest polymorph listed for this composition = 423 meV/atom; M_tot = 0.0 μB/cell; space-group type = No. 139
1.0
-0.7610 4.0677 0.3228
-3.7405 -2.8048 -0.1619
-1.9686 -0.6536 3.5954
P Li Cl
1 2 1
direct
0.5000 0.0000 0.5000 P
0.2500 0.5000 0.2500 Li
0.7500 0.5000 0.7500 Li
0.0000 0.0000 0.0000 Cl

=====

[3]
PBEsol ReSi, relaxed; raw formation energy = 0.098 eV/atom; M_tot = 0.0 μB/cell; space-group type = No. 129
1.0
2.7808 0.0000 0.0000
0.0000 2.7808 0.0000
0.0000 0.0000 7.5384
Re Si
2 2
direct
0.5000 0.0000 0.1168 Re
0.0000 0.5000 0.8832 Re
0.5000 0.0000 0.6501 Si
0.0000 0.5000 0.3499 Si

=====

[4]
PBEsol LiZr2P3O12, relaxed; raw formation energy = -2.734 eV/atom; energy relative to the lowest polymorph listed for this composition = 17 meV/atom; M_tot = 0.0 μB/cell; space-group type = No. 167
1.0
8.8471 0.0000 0.0000
4.4235 7.6618 0.0000
4.4235 2.5539 7.2807
Li O P Zr
2 24 6 4
direct
0.5000 0.5000 0.5000 Li
0.0000 0.0000 0.0000 Li
0.3098 0.1128 0.0779 O
0.4996 0.3098 0.0779 O
0.1128 0.4996 0.0779 O
0.3872 0.1902 0.4221 O
0.1902 0.0004 0.4221 O
0.0004 0.3872 0.4221 O
0.6902 0.8872 0.9221 O
0.5004 0.6902 0.9221 O
0.8872 0.5004 0.9221 O
0.6128 0.8098 0.5779 O
0.8098 0.9996 0.5779 O
0.9996 0.6128 0.5779 O
0.5897 0.2305 0.7391 O
0.4407 0.5897 0.7391 O
0.2305 0.4407 0.7391 O
0.2695 0.9103 0.7609 O
0.9103 0.0593 0.7609 O
0.0593 0.2695 0.7609 O
0.4103 0.7695 0.2609 O
0.5593 0.4103 0.2609 O
0.7695 0.5593 0.2609 O
0.7305 0.0897 0.2391 O
0.0897 0.9407 0.2391 O
0.9407 0.7305 0.2391 O
0.2500 0.9560 0.2500 P
0.5440 0.2500 0.2500 P
0.9560 0.5440 0.2500 P
0.7500 0.0440 0.7500 P
0.4560 0.7500 0.7500 P
0.0440 0.4560 0.7500 P
0.3578 0.3578 0.9267 Zr
0.1422 0.1422 0.5733 Zr
0.6422 0.6422 0.0733 Zr
0.8578 0.8578 0.4267 Zr

=====

[5]
PBEsol MgTl2Au, relaxed; DFT formation energy = -2.28 kJ per mole of atoms; M_tot = 0.0 μB/cell; space-group type = No. 216
1.0
5.0452 0.0000 0.0000
2.5226 4.3692 0.0000
2.5226 1.4564 4.1194
Au Mg Tl
1 1 2
direct
0.5000 0.5000 0.5000 Au
0.2500 0.2500 0.2500 Mg
0.0000 0.0000 0.0000 Tl
0.7500 0.7500 0.7500 Tl

=====

[6]
PBEsol P2WO8, relaxed; raw formation energy = -2.084 eV/atom; energy relative to the lowest polymorph listed for this composition = 8 meV/atom; M_tot = 0.0 μB/cell; space-group type = No. 62
1.0
-4.1702 -3.0612 -0.3310
3.9553 -5.2929 -0.8811
0.4604 -2.4269 16.6457
P W O
8 4 32
direct
0.7500 0.2065 0.8310 P
0.7500 0.9080 0.4227 P
0.7500 0.2935 0.3310 P
0.7500 0.5920 0.9227 P
0.2500 0.7935 0.1690 P
0.2500 0.4080 0.0773 P
0.2500 0.0920 0.5773 P
0.2500 0.7065 0.6690 P
0.2500 0.6238 0.3714 W
0.7500 0.3762 0.6286 W
0.7500 0.1238 0.1286 W
0.2500 0.8762 0.8714 W
0.7500 0.3170 0.7536 O
0.2500 0.3716 0.9916 O
0.5145 0.8251 0.3735 O
0.2500 0.1284 0.4916 O
0.0104 0.5750 0.6580 O
0.7500 0.3583 0.9025 O
0.9896 0.0750 0.8420 O
0.2500 0.9262 0.9704 O
0.2500 0.8170 0.7464 O
0.4855 0.3251 0.1265 O
0.2500 0.5738 0.4704 O
0.2500 0.6830 0.2464 O
0.0145 0.1749 0.6265 O
0.7500 0.1417 0.4025 O
0.7500 0.4262 0.5296 O
0.4896 0.5750 0.6580 O
0.9855 0.6749 0.8735 O
0.9855 0.8251 0.3735 O
0.2500 0.6417 0.0975 O
0.4855 0.1749 0.6265 O
0.5104 0.0750 0.8420 O
0.5104 0.4250 0.3420 O
0.2500 0.8583 0.5975 O
0.7500 0.6284 0.0084 O
0.7500 0.0738 0.0296 O
0.9896 0.4250 0.3420 O
0.4896 0.9250 0.1580 O
0.7500 0.1830 0.2536 O
0.7500 0.8716 0.5084 O
0.5145 0.6749 0.8735 O
0.0145 0.3251 0.1265 O
0.0104 0.9250 0.1580 O

=====

[7]
PBEsol Os4Br, relaxed; raw formation energy = 1.090 eV/atom; M_tot = 0.0 μB/cell; space-group type = No. 139
1.0
3.6987 0.0000 0.0000
0.0000 3.6987 0.0000
-1.8494 -1.8494 6.1719
Br Os
1 4
direct
0.0000 0.0000 0.0000 Br
0.7500 0.2500 0.5000 Os
0.2500 0.7500 0.5000 Os
0.6067 0.6067 0.2135 Os
0.3933 0.3933 0.7865 Os

=====

[8]
PBEsol Ca5Zr, relaxed; DFT formation energy = 22.46 kJ per mole of atoms; M_tot = 1.9 μB/cell; space-group type = No. 8
1.0
-3.2749 -0.2650 1.5744
4.6203 -1.7279 5.1043
-0.6243 8.7590 0.1754
Ca Zr
5 1
direct
0.0134 0.0268 0.9981 Ca
0.6752 0.3504 0.3281 Ca
0.3242 0.6485 0.6985 Ca
0.3823 0.7647 0.2444 Ca
0.0554 0.1108 0.6199 Ca
0.7161 0.4322 0.9443 Zr